## AgSb2As (GGA-PBE)

Data for AgSb2As after structural relaxation.

The structure belongs to space group P4mm (No. 99); the cell edges are 4.110, 4.110 and 5.800 Å and the angles 90.00°, 90.00° and 90.00°. The distinct sites, in fractional coordinates, are Ag at (0.000, 0.000, 0.000), Sb at (0.000, 0.000, 0.501), Sb at (0.500, 0.500, 0.010) and As at (0.500, 0.500, 0.493).

Its energy relative to the lowest polymorph listed for this composition is 0 meV/atom. As for the magnetization: 0.000 μB per formula unit. Its density of states at the Fermi level is 1.3 states/eV/f.u.

***

## AgSb2As (GGA-PBE)

Data for AgSb2As after structural relaxation.

The structure belongs to space group F-43m (No. 216); the cell edges are 7.225, 7.225 and 7.225 Å and the angles 90.00°, 90.00° and 90.00°. The distinct sites, in fractional coordinates, are Ag at (0.000, 0.000, 0.000), Sb at (0.000, 0.000, 0.500), Sb at (0.250, 0.250, 0.250) and As at (0.250, 0.250, 0.750).

Its energy relative to the lowest polymorph listed for this composition is 230 meV/atom. As for the magnetization: 0.000 μB per formula unit. Its density of states at the Fermi level is 2.4 states/eV/f.u.

***

## AgSbAs2 (GGA-PBE)

Data for AgSbAs2 after structural relaxation.

The structure belongs to space group Fm-3m (No. 225); the cell edges are 6.988, 6.988 and 6.988 Å and the angles 90.00°, 90.00° and 90.00°. The distinct sites, in fractional coordinates, are Ag at (0.000, 0.000, 0.000), Sb at (0.000, 0.000, 0.500) and As at (0.250, 0.250, 0.250).

Its energy relative to the lowest polymorph listed for this composition is 234 meV/atom. As for the magnetization: 0.000 μB per formula unit. Its density of states at the Fermi level is 2.1 states/eV/f.u.

***

## AgSb2As (GGA-PBE)

Data for AgSb2As after structural relaxation.

The structure belongs to space group I-42d (No. 122); the cell edges are 6.347, 6.347 and 12.424 Å and the angles 90.00°, 90.00° and 90.00°. The distinct sites, in fractional coordinates, are Ag at (0.000, 0.000, 0.000), Sb at (0.249, 0.250, 0.125) and As at (0.000, 0.000, 0.500).

Its energy relative to the lowest polymorph listed for this composition is 59 meV/atom. As for the magnetization: 0.000 μB per formula unit. Its density of states at the Fermi level is 0.4 states/eV/f.u.

***

## AgSbAs2 (GGA-PBE)

Data for AgSbAs2 after structural relaxation.

The structure belongs to space group P4/mmm (No. 123); the cell edges are 5.296, 5.296 and 3.035 Å and the angles 90.00°, 90.00° and 90.00°. The distinct sites, in fractional coordinates, are Ag at (0.000, 0.000, 0.000), Sb at (0.500, 0.500, 0.000) and As at (0.000, 0.500, 0.500).

Its energy relative to the lowest polymorph listed for this composition is 199 meV/atom. As for the magnetization: 0.000 μB per formula unit. Its density of states at the Fermi level is 1.7 states/eV/f.u.

***

## Ag2SbAs (GGA-PBE)

Data for Ag2SbAs after structural relaxation.

The structure belongs to space group R-3m (No. 166, hexagonal axes); the cell edges are 3.4133, 3.4133 and 25.2745 Å and the angles 90.00°, 90.00° and 120.00°. The distinct sites, in fractional coordinates, are Ag at (0.0000, 0.0000, 0.2445), Sb at (0.0000, 0.0000, 0.0000) and As at (0.0000, 0.0000, 0.5000).

Its energy relative to the lowest polymorph listed for this composition is 69 meV/atom. As for the magnetization: 0.000 μB per formula unit. Its density of states at the Fermi level is 1.7 states/eV/f.u.

***

## AgSbAs2 (GGA-PBE)

Data for AgSbAs2 after structural relaxation.

The structure belongs to space group C2/m (No. 12); the cell edges are 11.039, 3.696 and 4.670 Å and the angles 90.00°, 104.38° and 90.00°. The distinct sites, in fractional coordinates, are Ag at (0.000, 0.000, 0.000), Sb at (0.000, 0.500, 0.500) and As at (0.214, 0.000, 0.806).

Its energy relative to the lowest polymorph listed for this composition is 99 meV/atom. As for the magnetization: 0.000 μB per formula unit. Its density of states at the Fermi level is 1.3 states/eV/f.u.

***

## ScAgSbAs2 (GGA-PBE)

Data for ScAgSbAs2 after structural relaxation.

The structure belongs to space group P4/mmm (No. 123); the cell edges are 5.062, 5.062 and 5.486 Å and the angles 90.00°, 90.00° and 90.00°. The distinct sites, in fractional coordinates, are Sc at (0.000, 0.000, 0.000), Ag at (0.500, 0.500, 0.500), Sb at (0.000, 0.000, 0.500) and As at (0.000, 0.500, 0.000).

As for the magnetization: 0.000 μB per formula unit. Its density of states at the Fermi level is 3.6 states/eV/f.u. Its uncorrected energy is -21.020 eV/cell.

***

## Ag2SbAsSe4 (GGA-PBE)

Data for Ag2SbAsSe4 after structural relaxation.

The structure belongs to space group Imma (No. 74); the cell edges are 7.964, 8.148 and 11.370 Å and the angles 90.00°, 90.00° and 90.00°. The distinct sites, in fractional coordinates, are Ag at (0.000, 0.000, 0.000), Ag at (0.250, 0.250, 0.250), Sb at (0.000, 0.000, 0.500), As at (0.250, 0.250, 0.750), Se at (0.000, 0.012, 0.753) and Se at (0.245, 0.250, 0.995).

As for the magnetization: 0.000 μB per formula unit. Its density of states at the Fermi level is 1.1 states/eV/f.u. Its uncorrected energy is -117.504 eV/cell.

***

## Sr2Ag4SbAs3 (GGA-PBE)

Data for Sr2Ag4SbAs3 after structural relaxation.

The structure belongs to space group P-4m2 (No. 115); the cell edges are 4.502, 4.502 and 11.735 Å and the angles 90.00°, 90.00° and 90.00°. The distinct sites, in fractional coordinates, are Sr at (0.000, 0.500, 0.230), Ag at (0.000, 0.000, 0.000), Ag at (0.000, 0.500, 0.646), Ag at (0.500, 0.500, 0.000), Sb at (0.000, 0.000, 0.500), As at (0.000, 0.500, 0.865) and As at (0.500, 0.500, 0.500).

As for the magnetization: 0.000 μB per formula unit. Its density of states at the Fermi level is 3.9 states/eV/f.u. Its uncorrected energy is -37.196 eV/cell.

***

## Sr2Ag4Sb3As (GGA-PBE)

Data for Sr2Ag4Sb3As after structural relaxation.

The structure belongs to space group P-4m2 (No. 115); the cell edges are 4.642, 4.642 and 11.937 Å and the angles 90.00°, 90.00° and 90.00°. The distinct sites, in fractional coordinates, are Sr at (0.000, 0.500, 0.249), Ag at (0.000, 0.000, 0.000), Ag at (0.000, 0.500, 0.633), Ag at (0.500, 0.500, 0.000), Sb at (0.000, 0.500, 0.861), Sb at (0.500, 0.500, 0.500) and As at (0.000, 0.000, 0.500).

As for the magnetization: 0.000 μB per formula unit. Its density of states at the Fermi level is 3.8 states/eV/f.u. Its uncorrected energy is -36.041 eV/cell.

***

## AgSb2AsW (GGA-PBE)

Data for AgSb2AsW after structural relaxation.

The structure belongs to space group P4/mmm (No. 123); the cell edges are 5.321, 5.321 and 4.798 Å and the angles 90.00°, 90.00° and 90.00°. The distinct sites, in fractional coordinates, are Ag at (0.000, 0.000, 0.000), Sb at (0.000, 0.500, 0.500), As at (0.500, 0.500, 0.000) and W at (0.500, 0.500, 0.500).

As for the magnetization: 0.000 μB per formula unit. Its density of states at the Fermi level is 4.5 states/eV/f.u. Its uncorrected energy is -25.404 eV/cell.

***

## Sc2AgAs (GGA-PBE)

Data for Sc2AgAs after structural relaxation.

The structure belongs to space group R-3m (No. 166, hexagonal axes); the cell edges are 3.8611, 3.8611 and 20.2779 Å and the angles 90.00°, 90.00° and 120.00°. The distinct sites, in fractional coordinates, are Sc at (0.0000, 0.0000, 0.2405), Ag at (0.0000, 0.0000, 0.0000) and As at (0.0000, 0.0000, 0.5000).

The value obtained for the formation energy is -2.6 eV/f.u. As for the magnetization: 0.000 μB per formula unit. Its density of states at the Fermi level is 4.0 states/eV/f.u.

***

## ScAgAs (GGA-PBE)

Data for ScAgAs after structural relaxation.

The structure belongs to space group F-43m (No. 216); the cell edges are 6.316, 6.316 and 6.316 Å and the angles 90.00°, 90.00° and 90.00°. The distinct sites, in fractional coordinates, are Sc at (0.000, 0.000, 0.000), Ag at (0.000, 0.000, 0.500) and As at (0.250, 0.250, 0.250).

The value obtained for the formation energy is -1.5 eV/f.u. As for the magnetization: 0.000 μB per formula unit. Its density of states at the Fermi level is 2.4 states/eV/f.u.

***

## Sc2AgAs (GGA-PBE)

Data for Sc2AgAs after structural relaxation.

The structure belongs to space group R-3m (No. 166, hexagonal axes); the cell edges are 3.5715, 3.5715 and 26.7835 Å and the angles 90.00°, 90.00° and 120.00°. The distinct sites, in fractional coordinates, are Sc at (0.0000, 0.0000, 0.1064), Ag at (0.0000, 0.0000, 0.0000) and As at (0.0000, 0.0000, 0.5000).

The value obtained for the formation energy is -1.0 eV/f.u. As for the magnetization: 0.000 μB per formula unit. Its density of states at the Fermi level is 3.1 states/eV/f.u.

***

## ScAgAs2 (GGA-PBE)

Data for ScAgAs2 after structural relaxation.

The structure belongs to space group P4mm (No. 99); the cell edges are 3.820, 3.820 and 5.548 Å and the angles 90.00°, 90.00° and 90.00°. The distinct sites, in fractional coordinates, are Sc at (0.000, 0.000, 0.000), Ag at (0.500, 0.500, 0.399), As at (0.000, 0.000, 0.491) and As at (0.500, 0.500, 0.907).

The value obtained for the formation energy is -1.9 eV/f.u. As for the magnetization: 0.000 μB per formula unit. Its density of states at the Fermi level is 1.6 states/eV/f.u.

***

## ScAg3As (GGA-PBE)

Data for ScAg3As after structural relaxation.

The structure belongs to space group Pm-3m (No. 221); the cell edges are 5.086, 5.086 and 5.086 Å and the angles 90.00°, 90.00° and 90.00°. The distinct sites, in fractional coordinates, are Sc at (0.000, 0.000, 0.000), Ag at (0.000, 0.000, 0.500) and As at (0.500, 0.500, 0.500).

Its energy relative to the lowest polymorph listed for this composition is 699 meV/atom. The value obtained for the formation energy is 5.5 eV/f.u. As for the magnetization: 0.000 μB per formula unit. Its density of states at the Fermi level is 5.5 states/eV/f.u.

***

## ScAgAs (GGA-PBE)

Data for ScAgAs after structural relaxation.

The structure belongs to space group I4mm (No. 107); the cell edges are 3.631, 3.631 and 9.327 Å and the angles 90.00°, 90.00° and 90.00°. The distinct sites, in fractional coordinates, are Sc at (0.000, 0.000, 0.000), Ag at (0.000, 0.000, 0.310) and As at (0.000, 0.000, 0.607).

The value obtained for the formation energy is -1.2 eV/f.u. As for the magnetization: 0.000 μB per formula unit. Its density of states at the Fermi level is 1.2 states/eV/f.u.

***

## ScAg3As (GGA-PBE)

Data for ScAg3As after structural relaxation.

The structure belongs to space group Pm-3m (No. 221); the cell edges are 4.911, 4.911 and 4.911 Å and the angles 90.00°, 90.00° and 90.00°. The distinct sites, in fractional coordinates, are Sc at (0.000, 0.000, 0.000), Ag at (0.000, 0.500, 0.500) and As at (0.500, 0.500, 0.500).

Its energy relative to the lowest polymorph listed for this composition is 0 meV/atom. The value obtained for the formation energy is 2.0 eV/f.u. As for the magnetization: 1.110 μB per formula unit. Its density of states at the Fermi level is 4.9 states/eV/f.u.

***

## ScAgAs2 (GGA-PBE)

Data for ScAgAs2 after structural relaxation.

The structure belongs to space group Fm-3m (No. 225); the cell edges are 6.750, 6.750 and 6.750 Å and the angles 90.00°, 90.00° and 90.00°. The distinct sites, in fractional coordinates, are Sc at (0.000, 0.000, 0.000), Ag at (0.000, 0.000, 0.500) and As at (0.250, 0.250, 0.250).

The value obtained for the formation energy is -1.2 eV/f.u. As for the magnetization: 0.000 μB per formula unit. Its density of states at the Fermi level is 3.1 states/eV/f.u.